# GeAsPt

An optimized crystal structure of GeAsPt (GGA-PBE, the Open Quantum Materials Database).

a b c (Å): 6.1249 6.1249 6.1249
angles (deg): 90.00 90.00 90.00
With the nearest neighbours (Å) after each atom.
Space group F-43m (No. 216)
Inequivalent atoms, fractional coordinates:
1 Ge 0.0000 0.0000 0.0000 x4  4 Pt 2.65, 4 As 2.65
2 As 0.2500 0.2500 0.7500 x4  4 Ge 2.65
3 Pt 0.2500 0.2500 0.2500 x4  4 Ge 2.65

**Mass density**: 9.9 g cm⁻³
**E above lowest polymorph**: 1.16 eV per formula unit
**Energy**: -4.989 eV/atom